A plane-wave DFT calculation with GGA-PBE was carried out for crystalline Na2Ca4Ac at its relaxed geometry.

Calculated values
SG: Cmmm (65)
formation enthalpy at 0 K: 6 kJ per mole of atoms
V: 42.2 Å³ per atom
theoretical density: 2438 kg/m³
relative energy among the computed polymorphs: 0 meV per atom

Geometry as CIF:
```
data_Na2Ca4Ac
_space_group_name_H-M_alt 'P 1'
_space_group_IT_number 1
_cell_length_a 3.8052
_cell_length_b 3.8189
_cell_length_c 20.3949
_cell_angle_alpha 95.37
_cell_angle_beta 90.00
_cell_angle_gamma 90.00
loop_
_space_group_symop_operation_xyz
'x,y,z'
loop_
_atom_site_label
_atom_site_type_symbol
_atom_site_fract_x
_atom_site_fract_y
_atom_site_fract_z
Na1 Na 0.5000 0.2116 0.4232
Na2 Na 0.5000 0.7884 0.5768
Ca1 Ca 0.5000 0.0720 0.1439
Ca2 Ca 0.0000 0.3570 0.7140
Ca3 Ca 0.5000 0.9280 0.8561
Ca4 Ca 0.0000 0.6430 0.2860
Ac1 Ac 0.0000 0.5000 0.0000
```